RbBiPb2 | PBE | optimized geometry

extended XYZ file:
```
4
Lattice="-3.483 1.707 -2.020 -2.561 -1.343 3.281 1.220 7.014 3.822" Properties=species:S:1:pos:R:3 pbc="T T T"
Bi -3.022 0.182 0.631
Pb 0.226 1.296 0.706
Pb 0.995 5.718 3.116
Rb -2.412 3.689 2.542
```

Computed properties:
As for the total energy: -0.117 hartree per atom. The formation energy is -0.1151 eV/atom.

***

Hg2PbO | PBE | optimized geometry

extended XYZ file:
```
4
Lattice="0.280 -4.285 -2.602 -3.336 -3.661 0.825 -3.471 -1.062 -3.469" Properties=species:S:1:pos:R:3 pbc="T T T"
Hg -4.895 -6.756 -3.934
O 0.000 0.000 0.000
Hg -1.632 -2.252 -1.311
Pb -3.263 -4.504 -2.622
```

Computed properties:
As for the total energy: -0.075 hartree per atom. As for the energy relative to the elements, uncorrected: 0.281 eV per atom.

***

Co2TeCl | PBE | optimized geometry

extended XYZ file:
```
4
Lattice="-1.480 1.374 3.948 -1.939 3.970 0.382 -4.360 0.274 0.761" Properties=species:S:1:pos:R:3 pbc="T T T"
Co -5.835 4.213 3.818
Co -1.945 1.404 1.273
Te -3.890 2.809 2.546
Cl 0.000 0.000 0.000
```

Computed properties:
As for the total energy: -0.157 hartree per atom. As for the energy relative to the elements, uncorrected: 0.524 eV per atom.

***

LaY2V2 | PBE | optimized geometry

extended XYZ file:
```
10
Lattice="8.465 0.000 0.000 0.000 8.465 0.000 0.000 0.000 3.627" Properties=species:S:1:pos:R:3 pbc="T T T"
Y 5.906 6.791 1.814
La 0.000 0.000 0.000
La 4.232 4.232 0.000
Y 6.791 2.558 1.814
V 4.913 0.680 0.000
V 0.680 3.552 0.000
V 7.784 4.913 0.000
V 3.552 7.784 0.000
Y 2.558 1.674 1.814
Y 1.674 5.906 1.814
```

Computed properties:
As for the total energy: -0.252 hartree per atom. The formation energy is 0.3713 eV/atom.

***

RbPd | PBE | optimized geometry

extended XYZ file:
```
8
Lattice="-2.017 -3.289 5.772 1.703 -6.086 -2.873 6.010 0.544 2.410" Properties=species:S:1:pos:R:3 pbc="T T T"
Rb 2.751 -7.314 3.550
Rb -0.867 -4.154 3.099
Pd 3.342 -4.787 1.506
Pd -0.042 -1.245 0.385
Rb 2.945 -1.517 1.758
Rb 0.553 -5.221 -0.201
Pd 2.354 -4.044 3.802
Pd -0.272 -8.130 2.513
```

Computed properties:
As for the total energy: -0.098 hartree per atom. The formation energy is 0.4020 eV/atom.

***

Li2HoCu10 | PBE | optimized geometry

extended XYZ file:
```
13
Lattice="4.195 0.000 2.233 2.097 5.966 1.117 -0.788 0.000 6.537" Properties=species:S:1:pos:R:3 pbc="T T T"
Cu 1.452 1.299 2.328
Cu 4.420 2.167 6.867
Cu 3.146 2.983 1.675
Cu 3.182 2.167 4.136
Cu 2.322 3.799 5.750
Li -0.394 0.000 3.268
Li 1.703 0.000 4.385
Cu 4.051 4.667 7.558
Cu 1.084 3.799 3.020
Ho 0.000 0.000 0.000
Cu 1.049 2.983 0.558
Cu 3.550 4.667 3.445
Cu 1.954 1.299 6.442
```

Computed properties:
As for the total energy: -0.142 hartree per atom. The formation energy is -0.0575 eV/atom.

***

KZnAu | PBE | optimized geometry

extended XYZ file:
```
3
Lattice="-2.203 0.089 4.579 1.668 -3.079 3.683 2.498 1.925 3.985" Properties=species:S:1:pos:R:3 pbc="T T T"
Zn 0.982 -0.532 6.123
Au 0.491 -0.266 3.061
K 0.000 0.000 0.000
```

Computed properties:
As for the total energy: -0.069 hartree per atom. The formation energy is -0.0052 eV/atom.

***

Li2TcW | PBE | optimized geometry

extended XYZ file:
```
4
Lattice="2.581 -0.012 0.000 -0.884 2.425 0.000 0.000 0.000 9.620" Properties=species:S:1:pos:R:3 pbc="T T T"
W 0.848 1.206 7.215
Tc 0.848 1.206 2.405
Li 0.000 0.000 4.731
Li 0.000 0.000 0.079
```

Computed properties:
As for the total energy: -0.235 hartree per atom. The formation energy is 0.3962 eV/atom.

***

BPtI3 | PBE | optimized geometry

extended XYZ file:
```
5
Lattice="-1.328 -2.371 -4.777 3.906 -3.784 0.793 -3.631 -3.203 2.599" Properties=species:S:1:pos:R:3 pbc="T T T"
I -1.816 -1.602 1.300
I 1.953 -1.892 0.396
B -0.526 -4.679 -0.693
Pt 0.000 0.000 0.000
I -0.664 -1.185 -2.388
```

Computed properties:
As for the total energy: -0.090 hartree per atom. As for the energy relative to the elements, uncorrected: 1.012 eV per atom.

***

Sm2Ge4Ir3Rh | PBE | optimized geometry

extended XYZ file:
```
10
Lattice="4.268 0.000 0.000 0.000 4.268 0.000 0.000 0.000 10.120" Properties=species:S:1:pos:R:3 pbc="T T T"
Ir 0.000 0.000 5.060
Sm 2.134 0.000 2.477
Ge 0.000 0.000 0.000
Rh 2.134 2.134 5.060
Ge 2.134 2.134 0.000
Ge 2.134 0.000 6.383
Ir 0.000 2.134 1.296
Ir 2.134 0.000 8.824
Ge 0.000 2.134 3.737
Sm 0.000 2.134 7.643
```

Computed properties:
As for the total energy: -0.257 hartree per atom. The formation energy is -0.8082 eV/atom.

***

Tc2HIF | PBE | optimized geometry

extended XYZ file:
```
5
Lattice="4.153 0.000 0.000 0.000 5.828 0.000 0.000 0.000 4.153" Properties=species:S:1:pos:R:3 pbc="T T T"
F 0.000 0.000 0.000
I 0.000 2.914 0.000
Tc 2.076 0.000 0.000
H 2.076 2.914 2.076
Tc 0.000 0.000 2.076
```

Computed properties:
As for the total energy: -0.155 hartree per atom.

***

HoAg2PbS4 | PBE | optimized geometry

extended XYZ file:
```
8
Lattice="4.008 0.000 0.000 0.000 6.614 -0.027 0.000 2.435 6.552" Properties=species:S:1:pos:R:3 pbc="T T T"
Ag 2.004 1.218 3.276
Ho 0.000 4.525 3.262
S 0.000 6.820 4.804
Ag 0.000 2.435 6.552
S 2.004 5.589 1.700
S 4.008 2.229 1.721
S 2.004 3.461 4.825
Pb 2.004 3.307 -0.014
```

Computed properties:
As for the total energy: -0.167 hartree per atom. As for the energy relative to the elements, uncorrected: -0.728 eV per atom.

***

BaInRh2 | PBE | optimized geometry

extended XYZ file:
```
4
Lattice="3.399 0.000 0.000 0.000 4.755 0.001 0.000 2.139 5.465" Properties=species:S:1:pos:R:3 pbc="T T T"
Rh 0.000 0.000 0.000
In 0.000 1.069 2.733
Rh 1.700 3.447 2.733
Ba 1.700 2.377 0.000
```

Computed properties:
As for the total energy: -0.172 hartree per atom. The formation energy is 0.1512 eV/atom.

***

KMgCo3 | PBE | optimized geometry

extended XYZ file:
```
5
Lattice="4.786 0.000 0.000 0.000 4.786 0.000 0.000 0.000 4.786" Properties=species:S:1:pos:R:3 pbc="T T T"
K 2.393 2.393 2.393
Mg 0.000 0.000 0.000
Co 0.000 2.393 0.000
Co 0.000 0.000 2.393
Co 2.393 0.000 0.000
```

Computed properties:
As for the total energy: -0.123 hartree per atom. The formation energy is 1.4538 eV/atom.

***

CaTmHgAu | PBE | optimized geometry

extended XYZ file:
```
4
Lattice="3.618 0.000 0.000 0.000 3.618 0.000 0.000 0.000 7.507" Properties=species:S:1:pos:R:3 pbc="T T T"
Hg 0.000 0.000 6.325
Ca 1.809 1.809 0.877
Tm 1.809 1.809 4.409
Au 0.000 0.000 2.863
```

Computed properties:
As for the total energy: -0.117 hartree per atom. The formation energy is -0.6797 eV/atom.

***

FeSiMo | PBE | optimized geometry

extended XYZ file:
```
12
Lattice="-3.697 2.856 -1.112 0.206 -2.068 4.329 3.777 5.919 2.647" Properties=species:S:1:pos:R:3 pbc="T T T"
Fe -2.940 1.023 1.908
Si -3.051 2.042 -0.211
Fe -2.721 4.369 -0.424
Mo 1.966 4.359 4.663
Si 1.343 2.734 2.606
Mo 0.170 5.230 2.501
Si 1.446 1.711 4.747
Si -0.383 3.124 4.197
Mo -1.180 3.113 1.555
Fe -0.884 7.248 0.863
Fe -1.243 0.640 0.343
Mo -0.371 0.698 3.025
```

Computed properties:
As for the total energy: -0.314 hartree per atom. As for the energy relative to the elements, uncorrected: -0.311 eV per atom.

***

Na3SmDy2Se6 | PBE | optimized geometry

extended XYZ file:
```
12
Lattice="-5.721 -1.124 4.277 0.063 -2.652 -6.727 4.813 -4.657 3.176" Properties=species:S:1:pos:R:3 pbc="T T T"
Se -1.261 -1.745 1.991
Se -3.067 -3.865 -1.076
Se -1.542 -6.171 2.458
Se 0.696 -2.262 -1.732
Dy -3.794 -1.633 0.610
Sm 0.000 0.000 0.000
Na -2.355 -3.706 4.040
Se 0.416 -6.688 -1.265
Dy -1.864 -2.143 -3.061
Na -0.423 -4.216 0.363
Se 2.222 -4.568 1.802
Na 1.510 -4.727 -3.314
```

Computed properties:
As for the total energy: -0.181 hartree per atom. As for the energy relative to the elements, uncorrected: -1.703 eV per atom.

***

Pr2Si2Tc2C | PBE | optimized geometry

extended XYZ file:
```
7
Lattice="-0.234 0.338 4.095 -1.041 -5.383 2.453 5.278 -1.836 2.521" Properties=species:S:1:pos:R:3 pbc="T T T"
Tc -0.037 -1.586 4.265
Tc 4.041 -5.295 4.804
Si 2.933 -4.253 6.723
C 0.000 0.000 0.000
Si 1.071 -2.628 2.346
Pr 3.378 -1.981 4.493
Pr 0.626 -4.900 4.576
```

Computed properties:
As for the total energy: -0.287 hartree per atom. As for the energy relative to the elements, uncorrected: -0.607 eV per atom.

***

Na2YAlSi | PBE | optimized geometry

extended XYZ file:
```
5
Lattice="-3.915 -2.590 2.225 3.115 -1.595 3.623 -1.158 4.191 2.842" Properties=species:S:1:pos:R:3 pbc="T T T"
Na -0.579 2.096 1.421
Na -1.957 -1.295 1.112
Si 1.557 -0.798 1.812
Al 0.000 0.000 0.000
Y -0.979 0.003 4.345
```

Computed properties:
As for the total energy: -0.114 hartree per atom. As for the energy relative to the elements, uncorrected: 0.539 eV per atom.

***

Pr2Sm3Zn2 | PBE | optimized geometry

extended XYZ file:
```
7
Lattice="4.790 0.000 0.000 -2.395 5.889 -0.381 0.000 -3.210 7.610" Properties=species:S:1:pos:R:3 pbc="T T T"
Sm 2.395 0.000 0.000
Pr 0.000 -0.929 5.968
Pr 2.395 3.608 1.262
Sm 0.000 2.594 3.766
Zn 2.395 1.612 5.888
Sm 2.395 0.085 3.463
Zn 0.000 1.067 1.341
```

Computed properties:
As for the total energy: -0.141 hartree per atom. The formation energy is -0.0802 eV/atom.

***

KB2Te | PBE | optimized geometry

extended XYZ file:
```
8
Lattice="7.261 0.000 0.000 0.000 7.261 0.000 3.630 3.630 3.373" Properties=species:S:1:pos:R:3 pbc="T T T"
Te 0.000 0.000 0.000
Te 7.261 3.630 1.687
B 9.076 9.566 2.530
K 3.630 3.630 0.000
K 3.630 7.261 1.687
B 5.936 1.815 0.843
B 5.445 4.955 2.530
B 1.325 5.445 0.843
```

Computed properties:
As for the total energy: -0.113 hartree per atom. As for the energy relative to the elements, uncorrected: 1.333 eV per atom.